Entry 1:
Density functional theory data (PBE) for a relaxed PuCd2Hg8 crystal.

Properties
- density of states at the Fermi level (states/eV/atom) = 1.6238
- energy of formation from the pure elements (eV per atom) = -0.039
- SG = No. 12
- energy above the lowest structure with this stoichiometry (eV/f.u.) = 0.00
- ρ (g/cm3) = 12.27
- E (eV per atom) = -1.73
- spin magnetization (μB/atom) = 0.52

Cell lengths 8.1566, 8.1566, 8.3566 Å; angles 120.73, 120.73, 36.80 degrees
Atoms (fractional coordinates):
Pu1 0.0000 0.0000 0.0000
Cd1 0.2769 0.2769 0.2788
Cd2 0.7230 0.7230 0.7212
Hg1 0.1386 0.1386 0.4524
Hg2 0.1422 0.1422 0.8316
Hg3 0.3514 0.3514 0.8477
Hg4 0.4978 0.4978 0.3083
Hg5 0.5022 0.5022 0.6917
Hg6 0.6486 0.6486 0.1523
Hg7 0.8578 0.8578 0.1684
Hg8 0.8614 0.8614 0.5476

---

Entry 2:
Density functional theory data (PBE) for a relaxed Pu2CdHg3 crystal.

Properties
- density of states at the Fermi level (states/eV/atom) = 3.1481
- energy of formation from the pure elements (eV per atom) = -0.057
- SG = No. 194
- energy above the lowest structure with this stoichiometry (eV/f.u.) = 0.73
- ρ (g/cm3) = 13.27
- E (eV per atom) = -5.14
- spin magnetization (μB/atom) = 2.00

Cell lengths 6.1624, 6.1624, 9.1516 Å; angles 90.00, 90.00, 120.00 degrees
Atoms (fractional coordinates):
Pu1 0.3333 0.6667 0.0664
Pu2 0.3333 0.6667 0.4336
Pu3 0.6667 0.3333 0.5664
Pu4 0.6667 0.3333 0.9336
Cd1 0.0000 0.0000 0.0000
Cd2 0.0000 0.0000 0.5000
Hg1 0.1724 0.3448 0.7500
Hg2 0.1724 0.8276 0.7500
Hg3 0.3448 0.1724 0.2500
Hg4 0.6552 0.8276 0.7500
Hg5 0.8276 0.1724 0.2500
Hg6 0.8276 0.6552 0.2500

---

- Number 2 is which compound?
  Pu2CdHg3